Record 1
The following is a PBE-GGA calculation of a geometry-optimized Ac6Te3RuRh2 structure, from Alexandria.

```
Ac6Te3RuRh2
1.0
-3.249 -6.862 1.201
2.953 1.707 -6.889
7.077 -1.185 4.171
Ac Rh Te Ru
6 2 3 1
Direct
0.398 0.070 0.209
0.930 0.602 0.791
0.602 0.930 0.791
0.070 0.398 0.209
0.742 0.742 0.210
0.258 0.258 0.790
0.667 0.333 0.000
0.333 0.667 0.000
0.167 0.833 0.500
0.833 0.167 0.500
0.500 0.500 0.500
0.000 0.000 0.000
```

Properties
Energy relative to the elements, uncorrected   -0.970 eV per atom

Record 2
The following is a PBE-GGA calculation of a geometry-optimized AcThRuRh structure, from Alexandria.

```
AcThRuRh
1.0
-4.661 -1.210 1.775
-0.606 -4.091 3.038
-1.097 0.637 4.973
Ru Rh Th Ac
1 1 1 1
Direct
0.750 0.750 0.750
0.250 0.250 0.250
0.000 0.000 0.000
0.500 0.500 0.500
```

Properties
Formation enthalpy at 0 K   -7.9 kcal/mol of atoms

Record 3
The following is a PBE-GGA calculation of a geometry-optimized Ac3Zn6RuRh2 structure, from Alexandria.

```
Ac3Zn6RuRh2
1.0
-6.099 1.557 1.271
1.887 -0.894 -6.072
-1.807 -7.523 0.547
Zn Ac Ru Rh
6 3 1 2
Direct
0.807 0.193 0.647
0.193 0.386 0.353
0.614 0.807 0.353
0.807 0.614 0.647
0.193 0.807 0.353
0.386 0.193 0.647
0.333 0.667 0.753
0.000 0.000 0.000
0.667 0.333 0.247
0.000 0.000 0.500
0.667 0.333 0.899
0.333 0.667 0.101
```

Properties
Formation enthalpy at 0 K   -5.0 kcal/mol of atoms

Repeat the third record exactly.
The following is a PBE-GGA calculation of a geometry-optimized Ac3Zn6RuRh2 structure, from Alexandria.

```
Ac3Zn6RuRh2
1.0
-6.099 1.557 1.271
1.887 -0.894 -6.072
-1.807 -7.523 0.547
Zn Ac Ru Rh
6 3 1 2
Direct
0.807 0.193 0.647
0.193 0.386 0.353
0.614 0.807 0.353
0.807 0.614 0.647
0.193 0.807 0.353
0.386 0.193 0.647
0.333 0.667 0.753
0.000 0.000 0.000
0.667 0.333 0.247
0.000 0.000 0.500
0.667 0.333 0.899
0.333 0.667 0.101
```

Properties
Formation enthalpy at 0 K   -5.0 kcal/mol of atoms